Run w
# MnSb3

A relaxed MnSb3 crystal (PBEsol, the Alexandria database).

N(E_F) = 0.805 states/eV/atom
crystal system = orthorhombic

Cell: 3.3622 4.5109 6.7655 Å, 109.47 104.39 90.00°
Last column: nearest neighbours and their distance in Å.
Positions (direct):
1 Sb 0.5000 0.0000 0.0000  4 Mn 2.81, 4 Sb 3.14
2 Sb 0.3227 0.3227 0.6454  2 Mn 2.75
3 Sb 0.6773 0.6773 0.3546  2 Mn 2.75
4 Mn 0.0000 0.5000 0.0000  8 Sb 2.75-2.81

***

Run x
# MnSb3

A relaxed MnSb3 crystal (PBEsol, the Alexandria database).

N(E_F) = 0.516 states/eV/atom
crystal system = orthorhombic

Cell: 3.6669 7.7853 7.7853 Å, 117.69 90.00 90.00°
Last column: nearest neighbours and their distance in Å.
Positions (direct):
1 Sb 0.7500 0.6572 0.8429  3 Mn 2.73-3.04, 1 Sb 2.86
2 Sb 0.2500 0.8429 0.6572  3 Mn 2.73-3.04, 1 Sb 2.86
3 Sb 0.7500 0.2544 0.7456  2 Sb 2.86, 2 Mn 2.89
4 Sb 0.2500 0.7456 0.2544  2 Sb 2.86, 2 Mn 2.89
5 Sb 0.7500 0.1571 0.3428  3 Mn 2.73-3.04, 1 Sb 2.86
6 Sb 0.2500 0.3428 0.1571  3 Mn 2.73-3.04, 1 Sb 2.86
7 Mn 0.7500 0.5781 0.4219  8 Sb 2.73-3.04, 2 Mn 2.77
8 Mn 0.2500 0.4219 0.5781  8 Sb 2.73-3.04, 2 Mn 2.77

***

Run y
# MnSb3

A relaxed MnSb3 crystal (PBEsol, the Alexandria database).

N(E_F) = 0.690 states/eV/atom
crystal system = tetragonal

Cell: 3.2935 3.2951 8.0003 Å, 90.00 90.05 90.00°
Last column: nearest neighbours and their distance in Å.
Positions (direct):
1 Mn 0.0000 0.0000 0.0000  8 Sb 2.79
2 Sb 0.4991 0.5000 0.8075  4 Mn 2.79, 1 Sb 3.08
3 Sb 0.0000 0.0000 0.5000  12 Sb 3.29-3.39
4 Sb 0.5009 0.5000 0.1925  4 Mn 2.79, 1 Sb 3.08

***

Run z
# MnSb3

A relaxed MnSb3 crystal (PBEsol, the Alexandria database).

N(E_F) = 0.620 states/eV/atom
crystal system = trigonal

Cell: 3.3212 3.3212 9.4817 Å, 79.91 79.91 60.00°
Last column: nearest neighbours and their distance in Å.
Positions (direct):
1 Sb 0.7315 0.7315 0.8055  3 Mn 2.63
2 Sb 0.2685 0.2685 0.1945  3 Mn 2.63
3 Sb 0.5000 0.5000 0.5000  12 Sb 3.32-3.42
4 Mn 0.0000 0.0000 0.0000  6 Sb 2.63

***

We find run x to be the most stable, with the next structure 0.014 eV/atom higher.

***

Run w
# MnTlSb2

A relaxed MnTlSb2 crystal (PBEsol, the Alexandria database).

N(E_F) = 0.528 states/eV/atom
crystal system = tetragonal

Cell: 4.6981 4.6981 5.4422 Å, 115.57 115.57 90.00°
Last column: nearest neighbours and their distance in Å.
Positions (direct):
1 Sb 0.2500 0.7500 0.5000  4 Tl 3.19, 4 Mn 3.19, 4 Sb 3.32
2 Sb 0.7500 0.2500 0.5000  4 Tl 3.19, 4 Mn 3.19, 4 Sb 3.32
3 Tl 0.5000 0.5000 0.0000  8 Sb 3.19, 4 Mn 3.32
4 Mn 0.0000 0.0000 0.0000  8 Sb 3.19, 4 Tl 3.32

***

Run x
# MnTlSb2

A relaxed MnTlSb2 crystal (PBEsol, the Alexandria database).

N(E_F) = 0.602 states/eV/atom
crystal system = cubic

Cell: 5.1451 5.1451 5.1451 Å, 60.00 60.00 60.00°
Last column: nearest neighbours and their distance in Å.
Positions (direct):
1 Mn 0.5000 0.5000 0.5000  4 Tl 3.15, 4 Sb 3.15
2 Sb 0.7500 0.7500 0.7500  4 Mn 3.15, 4 Sb 3.15
3 Sb 0.0000 0.0000 0.0000  4 Tl 3.15, 4 Sb 3.15
4 Tl 0.2500 0.2500 0.2500  4 Mn 3.15, 4 Sb 3.15

***

We find run w to be the most stable, with the next structure 0.079 eV/atom higher.

***

Run w
# MnSb2W

A relaxed MnSb2W crystal (PBEsol, the Alexandria database).

N(E_F) = 0.765 states/eV/atom
crystal system = tetragonal

Cell: 3.1264 3.1264 7.9183 Å, 90.00 90.00 90.00°
Last column: nearest neighbours and their distance in Å.
Positions (direct):
1 W 0.0000 0.0000 0.5513  4 Mn 2.55
2 Sb 0.0000 0.0000 0.9252  4 Mn 2.78, 1 W 2.96
3 Sb 0.5000 0.5000 0.3112  4 W 2.92, 4 Sb 3.13, 1 Mn 3.18
4 Mn 0.5000 0.5000 0.7123  4 W 2.55, 4 Sb 2.78

***

Run x
# MnSb2W

A relaxed MnSb2W crystal (PBEsol, the Alexandria database).

N(E_F) = 0.709 states/eV/atom
crystal system = trigonal

Cell: 3.0789 3.0789 10.1155 Å, 81.25 81.25 60.00°
Last column: nearest neighbours and their distance in Å.
Positions (direct):
1 Sb 0.7707 0.7707 0.6878  3 W 2.90, 6 Sb 3.08
2 Sb 0.9763 0.9763 0.0712  3 Mn 2.76, 6 Sb 3.08
3 Mn 0.2389 0.2389 0.2832  3 W 2.49, 3 Sb 2.76
4 W 0.5140 0.5140 0.4579  3 Mn 2.49

***

We find run w to be the most stable, with the next structure 0.170 eV/atom higher.

***

Run w
# Sc3MnSi

A relaxed Sc3MnSi crystal (PBEsol, the Alexandria database).

N(E_F) = 1.999 states/eV/atom
crystal system = cubic

Cell: 4.9656 4.9656 4.9656 Å, 90.00 90.00 90.00°
Last column: nearest neighbours and their distance in Å.
Positions (direct):
1 Sc 0.0000 0.5000 0.0000  2 Si 2.48
2 Sc 0.5000 0.0000 0.0000  2 Si 2.48
3 Sc 0.0000 0.0000 0.5000  2 Si 2.48
4 Mn 0.5000 0.5000 0.5000  12 Sc 3.51
5 Si 0.0000 0.0000 0.0000  6 Sc 2.48

***

Run x
# Sc3MnSi

A relaxed Sc3MnSi crystal (PBEsol, the Alexandria database).

N(E_F) = 0.786 states/eV/atom
crystal system = cubic

Cell: 4.6539 4.6539 4.6539 Å, 90.00 90.00 90.00°
Last column: nearest neighbours and their distance in Å.
Positions (direct):
1 Sc 0.5000 0.0000 0.0000  2 Mn 2.33
2 Sc 0.0000 0.5000 0.0000  2 Mn 2.33
3 Sc 0.0000 0.0000 0.5000  2 Mn 2.33
4 Si 0.5000 0.5000 0.5000  12 Sc 3.29
5 Mn 0.0000 0.0000 0.0000  6 Sc 2.33

***

We find run x to be the most stable, with the next structure 0.144 eV/atom higher.

***

Run w
# SrScMn2

A relaxed SrScMn2 crystal (PBEsol, the Alexandria database).

N(E_F) = 1.091 states/eV/atom
crystal system = orthorhombic

Cell: 3.2762 3.7948 6.5847 Å, 90.00 89.97 90.00°
Last column: nearest neighbours and their distance in Å.
Positions (direct):
1 Mn 0.0000 0.0000 0.1481  1 Mn 1.95
2 Mn 0.0000 0.0000 0.8519  1 Mn 1.95
3 Sc 0.5000 0.5000 0.0000  8 Mn 2.69
4 Sr 0.5000 0.5000 0.5000  2 Sr 3.28, 2 Sc 3.29, 8 Mn 3.41

***

Run x
# SrScMn2

A relaxed SrScMn2 crystal (PBEsol, the Alexandria database).

N(E_F) = 1.103 states/eV/atom
crystal system = tetragonal

Cell: 3.3509 5.0249 5.0249 Å, 90.00 90.00 90.00°
Last column: nearest neighbours and their distance in Å.
Positions (direct):
1 Mn 0.0000 0.0000 0.5000  4 Sc 3.02, 4 Sr 3.02, 2 Mn 3.35
2 Mn 0.0000 0.5000 0.0000  4 Sc 3.02, 4 Sr 3.02, 2 Mn 3.35
3 Sr 0.5000 0.0000 0.0000  8 Mn 3.02, 2 Sr 3.35
4 Sc 0.5000 0.5000 0.5000  8 Mn 3.02, 2 Sc 3.35

***

We find run w to be the most stable, with the next structure 0.111 eV/atom higher.

***

Run w
# ScTa2Mn

A relaxed ScTa2Mn crystal (PBEsol, the Alexandria database).

N(E_F) = 1.037 states/eV/atom
crystal system = tetragonal

Cell: 3.0753 3.0753 7.0516 Å, 90.00 90.00 90.00°
Last column: nearest neighbours and their distance in Å.
Positions (direct):
1 Ta 0.5000 0.5000 0.2876  4 Mn 2.54
2 Ta 0.0000 0.0000 0.0193  8 Ta 2.88-3.08, 4 Sc 3.03, 1 Mn 3.21
3 Sc 0.5000 0.5000 0.7192  4 Mn 2.78, 5 Ta 3.03-3.04, 4 Sc 3.08
4 Mn 0.0000 0.0000 0.4739  4 Ta 2.54, 4 Sc 2.78

***

Run x
# ScTa2Mn

A relaxed ScTa2Mn crystal (PBEsol, the Alexandria database).

N(E_F) = 0.945 states/eV/atom
crystal system = monoclinic

Cell: 2.9696 4.2211 5.4288 Å, 90.00 103.25 90.00°
Last column: nearest neighbours and their distance in Å.
Positions (direct):
1 Ta 0.7019 0.0000 0.7752  2 Mn 2.58, 1 Ta 2.67, 2 Sc 2.84
2 Ta 0.2981 0.0000 0.2248  2 Mn 2.58, 1 Ta 2.67, 2 Sc 2.84
3 Sc 0.0000 0.5000 0.5000  2 Mn 2.78, 8 Ta 2.84-3.10, 2 Sc 2.97
4 Mn 0.5000 0.5000 0.0000  4 Ta 2.58, 2 Sc 2.78

***

We find run w to be the most stable, with the next structure 0.119 eV/atom higher.